NaTl2Ga (PBE, relaxed); formation enthalpy at 0 K = 0.10 eV per atom; SG = I-42d, No. 122; size of the total moment = 0.00 μB per cell; crystal system = tetragonal; density of states at the Fermi level = 4.5 states/eV per cell
1.0
-2.317 2.317 10.790
2.317 -2.317 10.790
2.317 2.317 -10.790
Na Tl Ga
2 4 2
direct
0.000 0.000 0.000
0.750 0.250 0.500
0.132 0.625 0.007
0.375 0.382 0.507
0.618 0.125 0.993
0.875 0.868 0.493
0.250 0.750 0.500
0.500 0.500 0.000